# 1
DFT (PBE) results for a relaxed structure of Gd11Ge10. Values from VASP.

Geometry as Quantum ESPRESSO input:
```
&SYSTEM
  ibrav = 0, nat = 42, ntyp = 2
/
ATOMIC_SPECIES
Gd 157.25 Gd.upf
Ge 72.64 Ge.upf
CELL_PARAMETERS angstrom
-5.499 5.499 8.351
5.499 -5.499 8.351
5.499 5.499 -8.351
ATOMIC_POSITIONS crystal
Gd 0.057 0.309 0.748
Gd 0.103 0.425 0.322
Gd 0.103 0.780 0.678
Gd 0.160 0.160 0.000
Gd 0.220 0.897 0.322
Gd 0.309 0.057 0.748
Gd 0.309 0.562 0.252
Gd 0.322 0.322 0.644
Gd 0.322 0.678 0.000
Gd 0.425 0.103 0.322
Gd 0.438 0.691 0.748
Gd 0.562 0.309 0.252
Gd 0.575 0.897 0.678
Gd 0.678 0.322 0.000
Gd 0.678 0.678 0.356
Gd 0.691 0.438 0.748
Gd 0.691 0.943 0.252
Gd 0.780 0.103 0.678
Gd 0.840 0.840 0.000
Gd 0.897 0.220 0.322
Gd 0.897 0.575 0.678
Gd 0.943 0.691 0.252
Ge 0.028 0.028 0.420
Ge 0.028 0.608 0.000
Ge 0.119 0.119 0.238
Ge 0.119 0.881 0.000
Ge 0.137 0.500 0.637
Ge 0.250 0.750 0.500
Ge 0.388 0.388 0.000
Ge 0.392 0.392 0.420
Ge 0.392 0.972 0.000
Ge 0.500 0.137 0.637
Ge 0.500 0.863 0.363
Ge 0.608 0.028 0.000
Ge 0.608 0.608 0.580
Ge 0.612 0.612 0.000
Ge 0.750 0.250 0.500
Ge 0.863 0.500 0.363
Ge 0.881 0.119 0.000
Ge 0.881 0.881 0.762
Ge 0.972 0.392 0.000
Ge 0.972 0.972 0.580
```

Uncorrected energy = -5.4835 eV per atom
Space group = No. 139

=====

# 2
DFT (PBE) results for a relaxed structure of Dy2TmGa5. Values from VASP.

Geometry as Quantum ESPRESSO input:
```
&SYSTEM
  ibrav = 0, nat = 8, ntyp = 3
/
ATOMIC_SPECIES
Dy 162.50 Dy.upf
Tm 168.93 Tm.upf
Ga 69.72 Ga.upf
CELL_PARAMETERS angstrom
4.804 0.000 0.000
0.000 3.396 5.215
0.000 -3.396 5.215
ATOMIC_POSITIONS crystal
Dy 0.000 0.000 0.000
Dy 0.500 0.310 0.310
Tm 0.500 0.780 0.780
Ga 0.000 0.495 0.979
Ga 0.000 0.509 0.509
Ga 0.000 0.979 0.495
Ga 0.500 0.304 0.800
Ga 0.500 0.800 0.304
```

Uncorrected energy = -4.0609 eV per atom
Space group = No. 38